Entry 1:
Computed, not measured: a geometry-optimized LiHfCu structure at the GGA-PBE level of DFT.

extended XYZ file:
```
3
Lattice="-1.493 1.493 5.687 1.493 -1.493 5.687 1.493 1.493 -5.687" Properties=species:S:1:pos:R:3 pbc="T T T"
Li 0.000 0.000 0.000
Hf 0.000 0.000 8.076
Cu 0.000 0.000 4.165
```

Output
ΔE_f	0.1457	eV/atom
crystal system	tetragonal
ΔE to the lowest computed polymorph	0.0000	eV per atom
density of states at the Fermi level	2.85	states/eV/cell


Entry 2:
Computed, not measured: a geometry-optimized LiHfCu4 structure at the GGA-PBE level of DFT.

extended XYZ file:
```
6
Lattice="0.000 3.476 3.476 3.476 0.000 3.476 3.476 3.476 0.000" Properties=species:S:1:pos:R:3 pbc="T T T"
Li 0.000 0.000 0.000
Hf 5.214 5.214 5.214
Cu 2.602 2.602 2.602
Cu 4.350 4.350 2.602
Cu 4.350 2.602 4.350
Cu 2.602 4.350 4.350
```

Output
ΔE_f	-0.0887	eV/atom
crystal system	cubic
ΔE to the lowest computed polymorph	0.0000	eV per atom
density of states at the Fermi level	6.14	states/eV/cell


Entry 3:
Computed, not measured: a geometry-optimized LiHfCu structure at the GGA-PBE level of DFT.

extended XYZ file:
```
6
Lattice="1.532 0.885 14.379 -1.532 0.885 14.379 0.000 -1.769 14.379" Properties=species:S:1:pos:R:3 pbc="T T T"
Li 0.000 0.000 8.425
Li 0.000 0.000 34.713
Hf 0.000 0.000 15.635
Hf 0.000 0.000 27.503
Cu 0.000 0.000 10.989
Cu 0.000 0.000 32.149
```

Output
ΔE_f	0.2054	eV/atom
crystal system	trigonal
ΔE to the lowest computed polymorph	0.0597	eV per atom
density of states at the Fermi level	3.88	states/eV/cell


Entry 4:
Computed, not measured: a geometry-optimized LiHf2Cu2 structure at the GGA-PBE level of DFT.

extended XYZ file:
```
10
Lattice="7.218 0.000 0.000 0.000 7.218 0.000 0.000 0.000 3.328" Properties=species:S:1:pos:R:3 pbc="T T T"
Li 0.000 0.000 0.000
Li 3.609 3.609 0.000
Hf 1.209 2.401 1.664
Hf 2.401 6.010 1.664
Hf 4.818 1.209 1.664
Hf 6.010 4.818 1.664
Cu 0.917 4.526 0.000
Cu 2.692 0.917 0.000
Cu 4.526 6.302 0.000
Cu 6.302 2.692 0.000
```

Output
ΔE_f	0.0202	eV/atom
crystal system	tetragonal
ΔE to the lowest computed polymorph	0.0000	eV per atom
density of states at the Fermi level	8.92	states/eV/cell


Entry 5:
Computed, not measured: a geometry-optimized LiHfCu2 structure at the GGA-PBE level of DFT.

extended XYZ file:
```
4
Lattice="3.108 0.000 0.000 0.000 3.108 0.000 0.000 0.000 6.253" Properties=species:S:1:pos:R:3 pbc="T T T"
Li 0.000 0.000 0.000
Hf 0.000 0.000 3.127
Cu 1.554 1.554 1.415
Cu 1.554 1.554 4.839
```

Output
ΔE_f	-0.0298	eV/atom
crystal system	tetragonal
ΔE to the lowest computed polymorph	0.0000	eV per atom
density of states at the Fermi level	2.75	states/eV/cell


Entry 6:
Computed, not measured: a geometry-optimized Li2HfCu2 structure at the GGA-PBE level of DFT.

extended XYZ file:
```
5
Lattice="-1.747 1.747 6.331 1.747 -1.747 6.331 1.747 1.747 -6.331" Properties=species:S:1:pos:R:3 pbc="T T T"
Li 1.747 0.000 3.165
Li 0.000 1.747 3.165
Hf 0.000 0.000 0.000
Cu 0.000 0.000 5.098
Cu 0.000 0.000 7.564
```

Output
ΔE_f	0.0409	eV/atom
crystal system	tetragonal
ΔE to the lowest computed polymorph	0.0000	eV per atom
density of states at the Fermi level	3.78	states/eV/cell


Entry 7:
Computed, not measured: a geometry-optimized Li2HfCu2 structure at the GGA-PBE level of DFT.

extended XYZ file:
```
10
Lattice="7.271 0.000 0.000 0.000 7.271 0.000 0.000 0.000 2.737" Properties=species:S:1:pos:R:3 pbc="T T T"
Li 0.818 2.817 0.000
Li 2.817 6.452 0.000
Li 4.454 0.818 0.000
Li 6.452 4.454 0.000
Hf 0.000 0.000 0.000
Hf 3.635 3.635 0.000
Cu 1.373 5.008 1.369
Cu 2.262 1.373 1.369
Cu 5.008 5.898 1.369
Cu 5.898 2.262 1.369
```

Output
ΔE_f	0.0492	eV/atom
crystal system	tetragonal
ΔE to the lowest computed polymorph	0.0084	eV per atom
density of states at the Fermi level	5.46	states/eV/cell


Entry 8:
Computed, not measured: a geometry-optimized LiHfCu3 structure at the GGA-PBE level of DFT.

extended XYZ file:
```
5
Lattice="4.144 0.000 0.000 0.000 4.144 0.000 0.000 0.000 4.144" Properties=species:S:1:pos:R:3 pbc="T T T"
Li 0.000 0.000 0.000
Hf 2.072 2.072 2.072
Cu 0.000 0.000 2.072
Cu 0.000 2.072 0.000
Cu 2.072 0.000 0.000
```

Output
ΔE_f	0.3462	eV/atom
crystal system	cubic
ΔE to the lowest computed polymorph	0.0000	eV per atom
density of states at the Fermi level	4.07	states/eV/cell


> What is the formula in the sixth record?

Li2HfCu2